No. 1
Compound: Dy2TiPbO6
Source: Alexandria
Functional: PBE
Structure: relaxed

Summary:
**Formation energy from raw total energies**: -2.64 eV/atom

Cell: 5.382 5.382 5.613 Å, 90.00 90.00 90.00°
Positions (direct):
1 Dy 0.000 0.500 0.000
2 Dy 0.500 0.000 0.000
3 Ti 0.000 0.000 0.651
4 Pb 0.500 0.500 0.555
5 O 0.000 0.000 0.327
6 O 0.232 0.232 0.792
7 O 0.232 0.768 0.792
8 O 0.500 0.500 0.146
9 O 0.768 0.232 0.792
10 O 0.768 0.768 0.792

No. 2
Compound: DyTmPbO2
Source: Alexandria
Functional: PBE
Structure: relaxed

Summary:
**Formation energy from raw total energies**: -2.58 eV/atom

Cell: 7.550 7.550 7.550 Å, 150.72 150.72 41.89°
Positions (direct):
1 Dy 0.000 0.000 0.000
2 Tm 0.343 0.343 0.000
3 Pb 0.672 0.672 0.000
4 O 0.419 0.919 0.500
5 O 0.919 0.419 0.500

No. 3
Compound: DyUPbO6
Source: Alexandria
Functional: PBE
Structure: relaxed

Summary:
**Formation energy from raw total energies**: -2.58 eV/atom

Cell: 5.856 5.856 4.845 Å, 90.00 90.00 120.00°
Positions (direct):
1 Dy 0.000 0.000 0.000
2 U 0.333 0.667 0.000
3 Pb 0.667 0.333 0.500
4 O 0.035 0.357 0.224
5 O 0.035 0.678 0.776
6 O 0.322 0.357 0.776
7 O 0.322 0.965 0.224
8 O 0.643 0.678 0.224
9 O 0.643 0.965 0.776